P | Below is crystalline PmSn2Pt at its relaxed geometry, with properties calculated at the PBE-GGA level.

```
data_PmSn2Pt
_symmetry_space_group_name_H-M 'P n m a'
_symmetry_Int_Tables_number 62
_cell_length_a 7.558
_cell_length_b 4.573
_cell_length_c 11.383
_cell_angle_alpha 90.00
_cell_angle_beta 90.00
_cell_angle_gamma 90.00
loop_
_symmetry_equiv_pos_as_xyz
'x,y,z'
'-x,-y,-z'
'-x+1/2,-y,z+1/2'
'x+1/2,y,-z+1/2'
'x+1/2,-y+1/2,-z+1/2'
'-x+1/2,y+1/2,z+1/2'
'-x,y+1/2,-z'
'x,-y+1/2,z'
loop_
_atom_site_label
_atom_site_fract_x
_atom_site_fract_y
_atom_site_fract_z
Pm1 0.213 0.250 0.157
Sn1 0.113 0.250 0.872
Sn2 0.152 0.250 0.444
Pt1 0.009 0.750 0.345
```

Calculated values
crystal system: orthorhombic


Q | Below is crystalline PmSn2Pt at its relaxed geometry, with properties calculated at the PBE-GGA level.

```
data_PmSn2Pt
_symmetry_space_group_name_H-M 'P 4/m m m'
_symmetry_Int_Tables_number 123
_symmetry_space_group_name_Hall '-P 4 2'
_cell_length_a 4.525
_cell_length_b 4.525
_cell_length_c 4.518
_cell_angle_alpha 90.00
_cell_angle_beta 90.00
_cell_angle_gamma 90.00
loop_
_atom_site_label
_atom_site_fract_x
_atom_site_fract_y
_atom_site_fract_z
Pm1 0.000 0.000 0.000
Sn1 0.000 0.500 0.500
Pt1 0.500 0.500 0.000
```

Calculated values
crystal system: tetragonal


R | Below is crystalline PmSn2Pt at its relaxed geometry, with properties calculated at the PBE-GGA level.

```
data_PmSn2Pt
_symmetry_space_group_name_H-M 'R -3 m'
_symmetry_Int_Tables_number 166
_symmetry_space_group_name_Hall '-R 3 2"'
_cell_length_a 3.5601
_cell_length_b 3.5601
_cell_length_c 30.2227
_cell_angle_alpha 90.00
_cell_angle_beta 90.00
_cell_angle_gamma 120.00
loop_
_atom_site_label
_atom_site_fract_x
_atom_site_fract_y
_atom_site_fract_z
Pm1 0.0000 0.0000 0.0000
Sn1 0.0000 0.0000 0.1059
Pt1 0.0000 0.0000 0.5000
```

Calculated values
crystal system: trigonal


S | Below is crystalline PmSn2Pt at its relaxed geometry, with properties calculated at the PBE-GGA level.

```
data_PmSn2Pt
_symmetry_space_group_name_H-M 'I m m m'
_symmetry_Int_Tables_number 71
_symmetry_space_group_name_Hall '-I 2 2'
_cell_length_a 4.642
_cell_length_b 9.507
_cell_length_c 17.711
_cell_angle_alpha 90.00
_cell_angle_beta 90.00
_cell_angle_gamma 90.00
loop_
_atom_site_label
_atom_site_fract_x
_atom_site_fract_y
_atom_site_fract_z
Pm1 0.000 0.000 0.203
Pm2 0.000 0.234 0.000
Sn1 0.000 0.000 0.420
Sn2 0.000 0.343 0.199
Sn3 0.000 0.500 0.422
Pt1 0.000 0.254 0.352
```

Calculated values
crystal system: orthorhombic


Tell me which of them is the most stable. Sure, it is S.


P | Below is crystalline PmSnPt3 at its relaxed geometry, with properties calculated at the PBE-GGA level.

```
data_PmSnPt3
_symmetry_space_group_name_H-M 'I m m a'
_symmetry_Int_Tables_number 74
_symmetry_space_group_name_Hall '-I 2b 2'
_cell_length_a 5.459
_cell_length_b 7.625
_cell_length_c 9.933
_cell_angle_alpha 90.00
_cell_angle_beta 90.00
_cell_angle_gamma 90.00
loop_
_atom_site_label
_atom_site_fract_x
_atom_site_fract_y
_atom_site_fract_z
Pm1 0.000 0.000 0.000
Sn1 0.000 0.250 0.478
Pt1 0.000 0.067 0.702
Pt2 0.250 0.250 0.250
```

Calculated values
crystal system: orthorhombic


Q | Below is crystalline PmSnPt3 at its relaxed geometry, with properties calculated at the PBE-GGA level.

```
data_PmSnPt3
_symmetry_space_group_name_H-M 'P 1 21/c 1'
_symmetry_Int_Tables_number 14
_cell_length_a 8.943
_cell_length_b 5.631
_cell_length_c 8.236
_cell_angle_alpha 90.00
_cell_angle_beta 98.55
_cell_angle_gamma 90.00
loop_
_symmetry_equiv_pos_as_xyz
'x,y,z'
'-x,-y,-z'
'-x,y+1/2,-z+1/2'
'x,-y+1/2,z+1/2'
loop_
_atom_site_label
_atom_site_fract_x
_atom_site_fract_y
_atom_site_fract_z
Pm1 0.114 0.101 0.203
Sn1 0.430 0.704 0.633
Pt1 0.122 0.636 0.036
Pt2 0.259 0.538 0.353
Pt3 0.381 0.185 0.582
```

Calculated values
crystal system: monoclinic


Tell me which of them is the most stable. Sure, it is Q.


P | Below is crystalline Pm3SnPt at its relaxed geometry, with properties calculated at the PBE-GGA level.

```
data_Pm3SnPt
_symmetry_space_group_name_H-M 'P m -3 m'
_symmetry_Int_Tables_number 221
_symmetry_space_group_name_Hall '-P 4 2 3'
_cell_length_a 5.519
_cell_length_b 5.519
_cell_length_c 5.519
_cell_angle_alpha 90.00
_cell_angle_beta 90.00
_cell_angle_gamma 90.00
loop_
_atom_site_label
_atom_site_fract_x
_atom_site_fract_y
_atom_site_fract_z
Pm1 0.000 0.000 0.500
Sn1 0.500 0.500 0.500
Pt1 0.000 0.000 0.000
```

Calculated values
crystal system: cubic


Q | Below is crystalline Pm3SnPt at its relaxed geometry, with properties calculated at the PBE-GGA level.

```
data_Pm3SnPt
_symmetry_space_group_name_H-M 'P m m n'
_symmetry_Int_Tables_number 59
_cell_length_a 4.608
_cell_length_b 6.989
_cell_length_c 9.277
_cell_angle_alpha 90.00
_cell_angle_beta 90.00
_cell_angle_gamma 90.00
loop_
_symmetry_equiv_pos_as_xyz
'x,y,z'
'-x,-y,-z'
'-x+1/2,-y+1/2,z'
'x+1/2,y+1/2,-z'
'x+1/2,-y,-z'
'-x+1/2,y,z'
'-x,y+1/2,-z'
'x,-y+1/2,z'
loop_
_atom_site_label
_atom_site_fract_x
_atom_site_fract_y
_atom_site_fract_z
Pm1 0.250 0.008 0.161
Pm2 0.250 0.250 0.576
Sn1 0.250 0.750 0.648
Pt1 0.250 0.250 0.901
```

Calculated values
crystal system: orthorhombic


Tell me which of them is the most stable. Sure, it is Q.


P | Below is crystalline Pm2Sn3Pt at its relaxed geometry, with properties calculated at the PBE-GGA level.

```
data_Pm2Sn3Pt
_symmetry_space_group_name_H-M 'P m m 2'
_symmetry_Int_Tables_number 25
_cell_length_a 4.079
_cell_length_b 4.839
_cell_length_c 7.967
_cell_angle_alpha 90.00
_cell_angle_beta 90.00
_cell_angle_gamma 90.00
loop_
_symmetry_equiv_pos_as_xyz
'x,y,z'
'-x,-y,z'
'-x,y,z'
'x,-y,z'
loop_
_atom_site_label
_atom_site_fract_x
_atom_site_fract_y
_atom_site_fract_z
Pm1 0.000 0.000 0.000
Pm2 0.000 0.500 0.483
Sn1 0.500 0.000 0.635
Sn2 0.500 0.500 0.170
Sn3 0.500 0.500 0.817
Pt1 0.500 0.000 0.304
```

Calculated values
crystal system: orthorhombic


Q | Below is crystalline Pm2Sn3Pt at its relaxed geometry, with properties calculated at the PBE-GGA level.

```
data_Pm2Sn3Pt
_symmetry_space_group_name_H-M 'C 1 m 1'
_symmetry_Int_Tables_number 8
_cell_length_a 11.415
_cell_length_b 4.662
_cell_length_c 7.388
_cell_angle_alpha 90.00
_cell_angle_beta 129.12
_cell_angle_gamma 90.00
loop_
_symmetry_equiv_pos_as_xyz
'x,y,z'
'x,-y,z'
'x+1/2,y+1/2,z'
'x+1/2,-y+1/2,z'
loop_
_atom_site_label
_atom_site_fract_x
_atom_site_fract_y
_atom_site_fract_z
Pm1 0.000 0.000 0.000
Pm2 0.130 0.000 0.620
Sn1 0.223 0.500 0.395
Sn2 0.386 0.000 0.196
Sn3 0.443 0.000 0.664
Pt1 0.239 0.500 0.034
```

Calculated values
crystal system: monoclinic


Tell me which of them is the most stable. Sure, it is Q.